Density functional theory data (GGA+U) for a relaxed structure of Ba2ScCo2O6. Values from VASP.

The structure in Quantum ESPRESSO input format:
```
&SYSTEM
  ibrav = 0, nat = 11, ntyp = 4
/
ATOMIC_SPECIES
O 16.00 O.upf
Ba 137.33 Ba.upf
Sc 44.96 Sc.upf
Co 58.93 Co.upf
CELL_PARAMETERS angstrom
-3.124 4.420 -2.530
-4.915 -1.245 -3.160
-5.686 1.508 2.602
ATOMIC_POSITIONS crystal
O 0.759 0.241 0.242
O 0.241 0.241 0.758
O 0.241 0.759 0.242
O 0.759 0.241 0.758
O 0.241 0.759 0.758
O 0.759 0.759 0.242
Ba 0.775 0.775 0.674
Ba 0.225 0.225 0.326
Sc 0.000 0.000 0.000
Co 0.433 0.433 0.700
Co 0.567 0.567 0.300
```

DFT total energy = -0.4896 Ry/atom
Space-group type = R-3m